Record 1
## Pr3ThZn4 (PBE)

Data for a relaxed structure of Pr3ThZn4.

abc: 3.6882 5.2325 10.4858
angles: 90.00 90.00 90.00
Positions (direct):
Pr1 0.5000 0.0000 0.2476
Pr2 0.5000 0.5000 0.5000
Pr3 0.5000 0.0000 0.7524
Zn1 0.0000 0.0000 0.5000
Zn2 0.0000 0.5000 0.7518
Zn3 0.0000 0.0000 0.0000
Zn4 0.0000 0.5000 0.2482
Th1 0.5000 0.5000 0.0000

Output
Symmetry: Pmmm (47)
Calculated density, Mg/m³: 7.5
DFT formation energy, meV/atom: -267

Record 2
## Mg3CdIn2 (PBE)

Data for a relaxed structure of Mg3CdIn2.

abc: 3.3727 3.3727 12.1129
angles: 90.00 90.00 90.00
Positions (direct):
Mg1 0.0000 0.0000 0.0000
Mg2 0.0000 0.0000 0.6572
Mg3 0.0000 0.0000 0.3428
Cd1 0.5000 0.5000 0.5000
In1 0.5000 0.5000 0.8320
In2 0.5000 0.5000 0.1680

Output
Symmetry: P4/mmm (123)
Calculated density, Mg/m³: 5.0
DFT formation energy, meV/atom: -78

Record 3
## Sr2CaHPb (PBE)

Data for a relaxed structure of Sr2CaHPb.

abc: 5.2979 5.2979 5.2531
angles: 90.00 90.00 90.00
Positions (direct):
Pb1 0.5000 0.5000 0.5000
Sr1 0.0000 0.5000 0.0000
Sr2 0.5000 0.0000 0.0000
Ca1 0.0000 0.0000 0.5000
H1 0.0000 0.0000 0.0000

Output
Symmetry: P4/mmm (123)
Calculated density, Mg/m³: 4.8
Total energy, eV per atom: -2.88

Record 4
## ScV2Zn2 (PBE)

Data for a relaxed structure of ScV2Zn2.

abc: 7.6118 7.6118 2.7360
angles: 90.00 90.00 90.00
Each line ends with the local moment (μB).
Positions (direct):
Sc1 0.0000 0.0000 0.0000  0.30
Sc2 0.5000 0.5000 0.0000  0.30
Zn1 0.1889 0.6889 0.5000  0.00
Zn2 0.6889 0.8111 0.5000  0.00
Zn3 0.8111 0.3111 0.5000  0.00
Zn4 0.3111 0.1889 0.5000  0.00
V1 0.3965 0.8965 0.0000  -0.03
V2 0.8965 0.6035 0.0000  -0.03
V3 0.6035 0.1035 0.0000  -0.03
V4 0.1035 0.3965 0.0000  -0.03

Output
Symmetry: P4/mbm (127)
Calculated density, Mg/m³: 5.8
Polymorph energy (0 for the lowest one), meV per atom: 7
DFT formation energy, meV/atom: 83

Record 5
## KGaSi (PBE)

Data for a relaxed structure of KGaSi.

abc: 20.0930 9.2621 9.2621
angles: 156.72 161.87 18.13
Positions (direct):
K1 0.5936 0.2244 0.7756
K2 0.9418 0.5366 0.4634
Si1 0.4528 0.1908 0.8092
Si2 0.3365 0.7334 0.2666
Ga1 0.1691 0.0665 0.9335
Ga2 0.8210 0.3264 0.6736

Output
Symmetry: Cm (8)
Calculated density, Mg/m³: 2.8
Raw formation energy, meV/atom: 35

Record 6
## TmPuSc2Te4 (PBE)

Data for a relaxed structure of TmPuSc2Te4.

abc: 4.2369 7.3971 7.3975
angles: 109.05 90.00 90.00
Each line ends with the local moment (μB).
Positions (direct):
Tm1 0.0000 0.0000 0.0000  0.06
Pu1 0.5000 0.5000 0.0000  5.56
Sc1 0.5000 0.0000 0.5000  -0.07
Sc2 0.0000 0.5000 0.5000  0.11
Te1 0.5000 0.2495 0.2629  -0.01
Te2 0.5000 0.7505 0.7371  -0.01
Te3 0.0000 0.2404 0.7343  -0.03
Te4 0.0000 0.7596 0.2657  -0.03

Output
Symmetry: P2/m (10)
Calculated density, Mg/m³: 7.7
Raw formation energy, meV/atom: -1129

Record 7
## NaBe3I (PBE)

Data for a relaxed structure of NaBe3I.

abc: 4.9967 4.9967 4.9967
angles: 90.00 90.00 90.00
Positions (direct):
I1 0.0000 0.0000 0.0000
Na1 0.5000 0.5000 0.5000
Be1 0.0000 0.5000 0.0000
Be2 0.0000 0.0000 0.5000
Be3 0.5000 0.0000 0.0000

Output
Symmetry: Pm-3m (221)
Calculated density, Mg/m³: 2.4
Polymorph energy (0 for the lowest one), meV per atom: 0
Raw formation energy, meV/atom: 1534

Record 8
## MgUCo2 (PBE)

Data for a relaxed structure of MgUCo2.

abc: 3.0043 3.0043 6.7924
angles: 90.00 90.00 90.00
Each line ends with the local moment (μB).
Positions (direct):
Co1 0.0000 0.0000 0.7482  0.41
Co2 0.0000 0.0000 0.2518  0.41
Mg1 0.5000 0.5000 0.5000  -0.01
U1 0.5000 0.5000 0.0000  -0.56

Output
Symmetry: P4/mmm (123)
Calculated density, Mg/m³: 10.3
DFT formation energy, meV/atom: -9